[1]
AcCdAs2Rh5 | PBE | relaxed

Summary:
Raw total energy = -0.444 Ry per atom
ΔE_f = -365 meV/atom

Cell: 4.159 4.159 10.703 Å, 90.00 90.00 90.00°
Space group P4/mmm (No. 123)
Asymmetric unit:
Ac (0.000, 0.000, 0.000) (multiplicity 1)
Cd (0.000, 0.000, 0.500) (multiplicity 1)
As (0.500, 0.500, 0.223) (multiplicity 2)
Rh (0.000, 0.500, 0.331) (multiplicity 4)
Rh (0.500, 0.500, 0.000) (multiplicity 1)

---

[2]
LiTbF | PBE | relaxed

Summary:
Raw total energy = -0.326 Ry per atom
E_form (uncorrected) = -1631 meV/atom

Cell: 3.628 3.735 8.699 Å, 90.00 90.22 90.00°
Space group P2_1/m (No. 11)
Asymmetric unit:
Li (0.249, 0.250, 0.072) (multiplicity 2)
Tb (0.252, 0.250, 0.682) (multiplicity 2)
F (0.250, 0.750, 0.511) (multiplicity 2)

---

Here are the calculated total magnetic moment numbers, same order: 0.000; 0.000 (μB per formula unit).